A relaxed Fe3Co7O20 crystal. Source: the Alexandria database, functional GGA+U.

Crystal system   monoclinic
Energy   -172.4 eV/f.u.
Total moment   1.053 μB per formula unit

Cell: 5.975 2.831 20.754 Å, 90.00 94.68 90.00°
Atoms (fractional coordinates):
Fe (0.000, 0.000, 0.000)
Fe (0.403, 0.000, 0.800)
Fe (0.597, 0.000, 0.200)
Co (0.000, 0.500, 0.500)
Co (0.199, 0.000, 0.401)
Co (0.201, 0.500, 0.900)
Co (0.397, 0.500, 0.301)
Co (0.603, 0.500, 0.699)
Co (0.799, 0.500, 0.100)
Co (0.801, 0.000, 0.599)
O (0.004, 0.000, 0.092)
O (0.005, 0.500, 0.591)
O (0.191, 0.000, 0.309)
O (0.192, 0.500, 0.809)
O (0.205, 0.000, 0.492)
O (0.209, 0.500, 0.992)
O (0.387, 0.500, 0.209)
O (0.399, 0.000, 0.707)
O (0.405, 0.000, 0.893)
O (0.405, 0.500, 0.392)
O (0.595, 0.000, 0.107)
O (0.595, 0.500, 0.608)
O (0.601, 0.000, 0.293)
O (0.613, 0.500, 0.791)
O (0.791, 0.500, 0.008)
O (0.795, 0.000, 0.508)
O (0.808, 0.500, 0.191)
O (0.809, 0.000, 0.691)
O (0.995, 0.500, 0.409)
O (0.996, 0.000, 0.908)